1.
The following is a PBE calculation of crystalline Li2TlSi at its relaxed geometry, from the Alexandria database. Values from VASP.

## Properties
Fermi-level density of states in states/eV/cell: 2.8
Uncorrected formation energy in eV/f.u.: 0.5
Symmetry: I-42d

Quantum ESPRESSO input file:
```
&SYSTEM
  ibrav = 0, nat = 8, ntyp = 3
/
ATOMIC_SPECIES
Tl 204.38 Tl.upf
Si 28.09 Si.upf
Li 6.94 Li.upf
CELL_PARAMETERS angstrom
-2.0777 -0.5200 3.5317
-0.5889 -3.9804 -0.9326
6.6832 -4.4649 5.6896
ATOMIC_POSITIONS angstrom
Tl 0.0000 0.0000 0.0000
Tl 1.6361 -3.6175 5.2605
Si -1.3333 -2.2502 1.2996
Si 2.3805 -5.3478 3.0283
Li 0.3798 -1.9185 3.3752
Li 0.9618 -3.6893 1.4190
Li 3.9894 -5.1918 5.2055
Li 2.7021 -7.1311 6.5779
```

---

2.
The following is a PBE calculation of crystalline Li2TlSi at its relaxed geometry, from the Alexandria database. Values from VASP.

## Properties
Fermi-level density of states in states/eV/cell: 3.2
Uncorrected formation energy in eV/f.u.: 0.1
Symmetry: F-43m

Quantum ESPRESSO input file:
```
&SYSTEM
  ibrav = 0, nat = 4, ntyp = 3
/
ATOMIC_SPECIES
Li 6.94 Li.upf
Si 28.09 Si.upf
Tl 204.38 Tl.upf
CELL_PARAMETERS angstrom
-4.5522 0.0529 1.4139
-3.4522 -1.2716 -3.0314
-2.3443 -4.1008 0.6418
ATOMIC_POSITIONS angstrom
Li 0.0000 0.0000 0.0000
Li -7.7615 -3.9896 -0.7318
Si -5.1744 -2.6597 -0.4879
Tl -2.5872 -1.3299 -0.2439
```

---

3.
The following is a PBE calculation of crystalline LiTlSi2 at its relaxed geometry, from the Alexandria database. Values from VASP.

## Properties
Fermi-level density of states in states/eV/cell: 1.5
Uncorrected formation energy in eV/f.u.: 1.3
Symmetry: I-4m2
Polymorph energy (0 for the lowest one) in meV per atom: 264

Quantum ESPRESSO input file:
```
&SYSTEM
  ibrav = 0, nat = 4, ntyp = 3
/
ATOMIC_SPECIES
Li 6.94 Li.upf
Si 28.09 Si.upf
Tl 204.38 Tl.upf
CELL_PARAMETERS angstrom
5.1765 0.0205 0.0000
1.7148 4.8843 0.0000
-3.4457 -2.4524 2.9850
ATOMIC_POSITIONS angstrom
Li 2.5883 0.0103 1.4925
Si 0.0000 0.0000 0.0000
Si 0.8574 2.4421 1.4925
Tl 3.4457 2.4524 0.0000
```

---

4.
The following is a PBE calculation of crystalline Li2TlSi at its relaxed geometry, from the Alexandria database. Values from VASP.

## Properties
Fermi-level density of states in states/eV/cell: 0.9
Uncorrected formation energy in eV/f.u.: 0.0
Symmetry: C2/m

Quantum ESPRESSO input file:
```
&SYSTEM
  ibrav = 0, nat = 4, ntyp = 3
/
ATOMIC_SPECIES
Li 6.94 Li.upf
Si 28.09 Si.upf
Tl 204.38 Tl.upf
CELL_PARAMETERS angstrom
-2.2326 -4.1627 0.1943
-0.1526 -4.1081 2.3345
-4.0236 1.3874 3.8751
ATOMIC_POSITIONS angstrom
Li -2.5571 -8.1131 2.6919
Li -3.0324 -3.5994 3.0388
Si -1.6022 -1.7208 1.6010
Tl -4.8065 -5.1625 4.8029
```

---

5.
The following is a PBE calculation of crystalline LiTlSi2 at its relaxed geometry, from the Alexandria database. Values from VASP.

## Properties
Fermi-level density of states in states/eV/cell: 1.2
Uncorrected formation energy in eV/f.u.: 1.0
Symmetry: P4/mmm
Polymorph energy (0 for the lowest one) in meV per atom: 188

Quantum ESPRESSO input file:
```
&SYSTEM
  ibrav = 0, nat = 4, ntyp = 3
/
ATOMIC_SPECIES
Li 6.94 Li.upf
Si 28.09 Si.upf
Tl 204.38 Tl.upf
CELL_PARAMETERS angstrom
4.9217 0.0000 0.0000
0.0000 3.8515 0.0000
0.0000 0.0000 3.8515
ATOMIC_POSITIONS angstrom
Li 2.4608 0.0000 1.9257
Si 0.0000 0.0000 0.0000
Si 0.0000 1.9257 1.9257
Tl 2.4608 1.9257 0.0000
```

---

6.
The following is a PBE calculation of crystalline LiTlSi2 at its relaxed geometry, from the Alexandria database. Values from VASP.

## Properties
Fermi-level density of states in states/eV/cell: 1.6
Uncorrected formation energy in eV/f.u.: 1.0
Symmetry: Pmmm
Polymorph energy (0 for the lowest one) in meV per atom: 190

Quantum ESPRESSO input file:
```
&SYSTEM
  ibrav = 0, nat = 4, ntyp = 3
/
ATOMIC_SPECIES
Li 6.94 Li.upf
Si 28.09 Si.upf
Tl 204.38 Tl.upf
CELL_PARAMETERS angstrom
-2.1149 -1.5906 1.0578
2.6960 -1.7634 2.7384
-1.4055 4.8779 4.5248
ATOMIC_POSITIONS angstrom
Li -0.7635 1.9814 5.2917
Si -1.2980 4.5051 4.1790
Si -0.8101 2.8117 2.6082
Tl -0.0608 -0.4575 3.0293
```